# GGA-PBE Sm2AsPt, relaxed
# **Calculated volume**: 313.62 Å³ per cell
# **E above lowest polymorph**: 0.081 eV/atom
# **DFT formation energy**: -1.20 eV per atom
# **DOS at the Fermi energy**: 8.60 states/eV per cell
# **Spin magnetization**: 0.00 μB/cell
data_Sm2AsPt
_cell_length_a 4.1641
_cell_length_b 4.1641
_cell_length_c 20.8852
_cell_angle_alpha 90.00
_cell_angle_beta 90.00
_cell_angle_gamma 120.00
_space_group_name_H-M_alt 'R -3 m'
_space_group_IT_number 166
_space_group_name_Hall '-R 3 2"'
loop_
_atom_site_label
_atom_site_fract_x
_atom_site_fract_y
_atom_site_fract_z
Sm1 0.0000 0.0000 0.2491
As1 0.0000 0.0000 0.0000
Pt1 0.0000 0.0000 0.5000